! Nb2P4O15 (PBE, relaxed); values from VASP
! Symmetry: P-1, No. 2
! Calculated total energy in eV/atom: -7.785
&SYSTEM
  ibrav = 0, nat = 42, ntyp = 3
/
ATOMIC_SPECIES
Nb 92.91 Nb.upf
O 16.00 O.upf
P 30.97 P.upf
CELL_PARAMETERS angstrom
6.619 0.021 -0.029
0.032 8.398 0.029
-0.123 -3.019 10.421
ATOMIC_POSITIONS crystal
Nb 0.742 0.700 0.145
Nb 0.227 0.291 0.346
Nb 0.773 0.709 0.654
Nb 0.258 0.300 0.855
O 0.500 0.000 0.000
O 0.568 0.662 0.019
O 0.993 0.672 0.037
O 0.795 0.158 0.055
O 0.811 0.467 0.163
O 0.106 0.274 0.173
O 0.729 0.952 0.174
O 0.510 0.210 0.221
O 0.554 0.715 0.289
O 0.000 0.778 0.291
O 0.217 0.039 0.322
O 0.300 0.530 0.349
O 0.009 0.327 0.435
O 0.299 0.840 0.450
O 0.434 0.325 0.489
O 0.000 0.000 0.500
O 0.566 0.675 0.511
O 0.701 0.160 0.550
O 0.991 0.673 0.565
O 0.700 0.470 0.651
O 0.783 0.961 0.678
O 0.000 0.222 0.709
O 0.446 0.285 0.711
O 0.490 0.790 0.779
O 0.271 0.048 0.826
O 0.894 0.726 0.827
O 0.189 0.533 0.837
O 0.205 0.842 0.945
O 0.007 0.328 0.963
O 0.432 0.338 0.981
P 0.934 0.318 0.093
P 0.625 0.085 0.124
P 0.121 0.910 0.378
P 0.434 0.679 0.397
P 0.566 0.321 0.603
P 0.879 0.090 0.622
P 0.375 0.915 0.876
P 0.066 0.682 0.907